Zr2AgH2 | PBEsol | optimized geometry

CIF file:
```
data_Zr2AgH2
_space_group_name_H-M_alt 'P 1'
_space_group_IT_number 1
_space_group_name_Hall 'P 1'
_cell_length_a 3.460
_cell_length_b 3.460
_cell_length_c 6.007
_cell_angle_alpha 106.74
_cell_angle_beta 106.74
_cell_angle_gamma 90.00
loop_
_atom_site_label
_atom_site_type_symbol
_atom_site_fract_x
_atom_site_fract_y
_atom_site_fract_z
_atom_site_occupancy
H1 H 0.250 0.750 0.500 1
H2 H 0.750 0.250 0.500 1
Ag1 Ag 0.000 0.000 0.000 1
Zr1 Zr 0.354 0.354 0.707 1
Zr2 Zr 0.646 0.646 0.293 1
```

Properties
Electronic total energy ... -5.9771 eV per atom
SG ... No. 139

Fe2AsRu | PBEsol | optimized geometry

CIF file:
```
data_Fe2AsRu
_space_group_name_H-M_alt 'P 1'
_space_group_IT_number 1
_space_group_name_Hall 'P 1'
_cell_length_a 2.721
_cell_length_b 3.747
_cell_length_c 4.893
_cell_angle_alpha 90.00
_cell_angle_beta 90.00
_cell_angle_gamma 90.00
loop_
_atom_site_label
_atom_site_type_symbol
_atom_site_fract_x
_atom_site_fract_y
_atom_site_fract_z
_atom_site_occupancy
As1 As 0.500 0.500 0.500 1
Fe1 Fe 0.000 0.000 0.755 1
Fe2 Fe 0.000 0.000 0.245 1
Ru1 Ru 0.500 0.500 0.000 1
```

Properties
Energy relative to the elements ... 0.13 eV per atom
SG ... No. 47

CoBSe2 | PBEsol | optimized geometry

CIF file:
```
data_CoBSe2
_space_group_name_H-M_alt 'P 1'
_space_group_IT_number 1
_space_group_name_Hall 'P 1'
_cell_length_a 3.547
_cell_length_b 3.547
_cell_length_c 6.497
_cell_angle_alpha 74.16
_cell_angle_beta 74.16
_cell_angle_gamma 60.00
loop_
_atom_site_label
_atom_site_type_symbol
_atom_site_fract_x
_atom_site_fract_y
_atom_site_fract_z
_atom_site_occupancy
B1 B 0.000 0.000 0.000 1
Co1 Co 0.500 0.500 0.500 1
Se1 Se 0.899 0.899 0.303 1
Se2 Se 0.101 0.101 0.697 1
```

Properties
Electronic total energy ... -5.2157 eV per atom
SG ... No. 166

TaMoRu2 | PBEsol | optimized geometry

CIF file:
```
data_TaMoRu2
_space_group_name_H-M_alt 'P 1'
_space_group_IT_number 1
_space_group_name_Hall 'P 1'
_cell_length_a 4.389
_cell_length_b 4.389
_cell_length_c 4.389
_cell_angle_alpha 60.00
_cell_angle_beta 60.00
_cell_angle_gamma 60.00
loop_
_atom_site_label
_atom_site_type_symbol
_atom_site_fract_x
_atom_site_fract_y
_atom_site_fract_z
_atom_site_occupancy
Mo1 Mo 0.500 0.500 0.500 1
Ru1 Ru 0.000 0.000 0.000 1
Ru2 Ru 0.250 0.250 0.250 1
Ta1 Ta 0.750 0.750 0.750 1
```

Properties
Energy relative to the elements ... 0.12 eV per atom
SG ... No. 216